Below is crystalline Tl2CdHg at its relaxed geometry, with properties calculated at the PBE-GGA level.

Lattice parameters (Å, degrees): 7.0985 7.0985 7.0985 56.87 153.67 130.56
Last column: nearest neighbours and their distance in Å.
Element x y z (fractional)
1 Cd 0.0000 0.0000 0.0000  2 Tl 3.10, 2 Cd 3.23, 4 Hg 3.38
2 Tl 0.0000 0.7515 0.7515  1 Cd 3.10, 1 Hg 3.14, 6 Tl 3.23-3.38
3 Hg 0.0000 0.5000 0.5000  2 Tl 3.14, 2 Hg 3.23, 4 Cd 3.38
4 Tl 0.0000 0.2485 0.2485  1 Cd 3.10, 1 Hg 3.14, 6 Tl 3.23-3.38

Results
Energy above the lowest structure with this stoichiometry   0.062 eV/atom
Final energy   -1.41 eV/atom
Fermi-level density of states   1.70 states/eV/cell
ΔH_f (0 K)   0.0747 eV per atom